# 1
{
  "formula": "TbCeCdOs",
  "functional": "PBE",
  "state": "optimized geometry",
  "energy_ry_per_atom": -0.4262,
  "de_polymorph_ev_per_fu": 0.535,
  "lattice_angstrom": [[0.000, 3.588, 3.588], [3.588, 0.000, 3.588], [3.588, 3.588, 0.000]],
  "species": ["Tb", "Ce", "Cd", "Os"],
  "fractional_positions": [[0.000, 0.000, 0.000], [0.500, 0.500, 0.500], [0.250, 0.250, 0.250], [0.750, 0.750, 0.750]]
}

***

# 2
{
  "formula": "Ce2ZnCdOs",
  "functional": "PBE",
  "state": "optimized geometry",
  "energy_ry_per_atom": -0.3859,
  "lattice_angstrom": [[7.919, 0.000, 0.000], [0.000, 4.015, 0.000], [-2.893, 0.000, 7.505]],
  "species": ["Ce", "Ce", "Ce", "Ce", "Zn", "Zn", "Cd", "Cd", "Os", "Os"],
  "fractional_positions": [[0.009, 0.250, 0.216], [0.343, 0.750, 0.608], [0.657, 0.250, 0.392], [0.991, 0.750, 0.784], [0.364, 0.250, 0.944], [0.636, 0.750, 0.056], [0.323, 0.750, 0.179], [0.677, 0.250, 0.821], [0.114, 0.250, 0.627], [0.886, 0.750, 0.373]]
}

***

# 3
{
  "formula": "CeCdP2Pd5",
  "functional": "PBE",
  "state": "optimized geometry",
  "energy_ry_per_atom": -0.3907,
  "lattice_angstrom": [[4.576, 0.000, 0.000], [0.000, 4.576, 0.000], [0.000, 0.000, 8.397]],
  "species": ["Ce", "Cd", "P", "P", "Pd", "Pd", "Pd", "Pd", "Pd"],
  "fractional_positions": [[0.000, 0.000, 0.000], [0.000, 0.000, 0.500], [0.500, 0.500, 0.274], [0.500, 0.500, 0.726], [0.000, 0.500, 0.299], [0.000, 0.500, 0.701], [0.500, 0.000, 0.299], [0.500, 0.000, 0.701], [0.500, 0.500, 0.000]]
}

***

# 4
{
  "formula": "Ce3CdP2Rh9",
  "functional": "PBE",
  "state": "optimized geometry",
  "energy_ry_per_atom": -0.5119,
  "lattice_angstrom": [[5.707, 0.000, 0.000], [-2.853, 4.942, 0.000], [0.000, 0.000, 10.563]],
  "species": ["Ce", "Ce", "Ce", "Cd", "P", "P", "Rh", "Rh", "Rh", "Rh", "Rh", "Rh", "Rh", "Rh", "Rh"],
  "fractional_positions": [[0.000, 0.000, 0.000], [0.333, 0.667, 0.709], [0.667, 0.333, 0.291], [0.000, 0.000, 0.500], [0.333, 0.667, 0.153], [0.667, 0.333, 0.847], [0.000, 0.500, 0.000], [0.158, 0.315, 0.284], [0.158, 0.842, 0.284], [0.315, 0.158, 0.716], [0.500, 0.000, 0.000], [0.500, 0.500, 0.000], [0.685, 0.842, 0.284], [0.842, 0.158, 0.716], [0.842, 0.685, 0.716]]
}

***

# 5
{
  "formula": "Ce2CdP3Rh12",
  "functional": "PBE",
  "state": "optimized geometry",
  "energy_ry_per_atom": -0.5052,
  "lattice_angstrom": [[4.352, 2.512, 4.517], [-4.352, 2.512, 4.517], [0.000, -5.025, 4.517]],
  "species": ["Ce", "Ce", "Cd", "P", "P", "P", "Rh", "Rh", "Rh", "Rh", "Rh", "Rh", "Rh", "Rh", "Rh", "Rh", "Rh", "Rh"],
  "fractional_positions": [[0.115, 0.115, 0.115], [0.885, 0.885, 0.885], [0.500, 0.500, 0.500], [0.000, 0.500, 0.500], [0.500, 0.000, 0.500], [0.500, 0.500, 0.000], [0.145, 0.680, 0.680], [0.149, 0.149, 0.593], [0.149, 0.593, 0.149], [0.320, 0.320, 0.855], [0.320, 0.855, 0.320], [0.407, 0.851, 0.851], [0.593, 0.149, 0.149], [0.680, 0.145, 0.680], [0.680, 0.680, 0.145], [0.851, 0.407, 0.851], [0.851, 0.851, 0.407], [0.855, 0.320, 0.320]]
}

***

# 6
{
  "formula": "CePa2Cd",
  "functional": "PBE",
  "state": "optimized geometry",
  "energy_ry_per_atom": -0.4540,
  "lattice_angstrom": [[1.571, 0.907, 12.205], [-1.571, 0.907, 12.205], [0.000, -1.813, 12.205]],
  "species": ["Ce", "Pa", "Pa", "Cd"],
  "fractional_positions": [[0.000, 0.000, 0.000], [0.411, 0.411, 0.411], [0.589, 0.589, 0.589], [0.500, 0.500, 0.500]]
}

***

# 7
{
  "formula": "Ce4PaCd",
  "functional": "PBE",
  "state": "optimized geometry",
  "energy_ry_per_atom": -0.4189,
  "lattice_angstrom": [[3.265, 0.000, 0.000], [0.000, 3.265, 0.000], [0.000, 0.000, 14.595]],
  "species": ["Ce", "Ce", "Ce", "Ce", "Pa", "Cd"],
  "fractional_positions": [[0.000, 0.000, 0.161], [0.000, 0.000, 0.839], [0.500, 0.500, 0.331], [0.500, 0.500, 0.669], [0.500, 0.500, 0.000], [0.000, 0.000, 0.500]]
}

***

# 8
{
  "formula": "CePaCd4",
  "functional": "PBE",
  "state": "optimized geometry",
  "energy_ry_per_atom": -0.2321,
  "lattice_angstrom": [[0.000, 4.188, 4.188], [4.188, 0.000, 4.188], [4.188, 4.188, 0.000]],
  "species": ["Ce", "Pa", "Cd", "Cd", "Cd", "Cd"],
  "fractional_positions": [[0.000, 0.000, 0.000], [0.750, 0.750, 0.750], [0.375, 0.375, 0.375], [0.375, 0.375, 0.875], [0.375, 0.875, 0.375], [0.875, 0.375, 0.375]]
}

***

# 9
{
  "formula": "CePuPaCd",
  "functional": "PBE",
  "state": "optimized geometry",
  "energy_ry_per_atom": -0.5488,
  "lattice_angstrom": [[0.000, 3.696, 3.696], [3.696, 0.000, 3.696], [3.696, 3.696, 0.000]],
  "species": ["Ce", "Pu", "Pa", "Cd"],
  "fractional_positions": [[0.000, 0.000, 0.000], [0.500, 0.500, 0.500], [0.750, 0.750, 0.750], [0.250, 0.250, 0.250]]
}

***

# 10
{
  "formula": "CeScPaCd",
  "functional": "PBE",
  "state": "optimized geometry",
  "energy_ry_per_atom": -0.4025,
  "lattice_angstrom": [[0.000, 3.667, 3.667], [3.667, 0.000, 3.667], [3.667, 3.667, 0.000]],
  "species": ["Ce", "Sc", "Pa", "Cd"],
  "fractional_positions": [[0.000, 0.000, 0.000], [0.500, 0.500, 0.500], [0.250, 0.250, 0.250], [0.750, 0.750, 0.750]]
}

***

# 11
{
  "formula": "TbCePaCd",
  "functional": "PBE",
  "state": "optimized geometry",
  "energy_ry_per_atom": -0.3687,
  "lattice_angstrom": [[0.000, 3.766, 3.766], [3.766, 0.000, 3.766], [3.766, 3.766, 0.000]],
  "species": ["Tb", "Ce", "Pa", "Cd"],
  "fractional_positions": [[0.000, 0.000, 0.000], [0.500, 0.500, 0.500], [0.750, 0.750, 0.750], [0.250, 0.250, 0.250]]
}

***

# 12
{
  "formula": "CeThPaCd",
  "functional": "PBE",
  "state": "optimized geometry",
  "energy_ry_per_atom": -0.4204,
  "lattice_angstrom": [[0.000, 3.802, 3.802], [3.802, 0.000, 3.802], [3.802, 3.802, 0.000]],
  "species": ["Ce", "Th", "Pa", "Cd"],
  "fractional_positions": [[0.000, 0.000, 0.000], [0.500, 0.500, 0.500], [0.250, 0.250, 0.250], [0.750, 0.750, 0.750]]
}

***

# 13
{
  "formula": "Ce3Cd4Pb2",
  "functional": "PBE",
  "state": "optimized geometry",
  "energy_ry_per_atom": -0.2573,
  "lattice_angstrom": [[7.785, 0.000, 0.000], [-3.893, 6.742, 0.000], [0.000, 0.000, 4.711]],
  "species": ["Ce", "Ce", "Ce", "Cd", "Cd", "Cd", "Cd", "Pb", "Pb"],
  "fractional_positions": [[0.000, 0.422, 0.000], [0.422, 0.000, 0.000], [0.578, 0.578, 0.000], [0.000, 0.000, 0.000], [0.000, 0.766, 0.500], [0.234, 0.234, 0.500], [0.766, 0.000, 0.500], [0.333, 0.667, 0.500], [0.667, 0.333, 0.500]]
}

***

# 14
{
  "formula": "Ce2CdPb",
  "functional": "PBE",
  "state": "optimized geometry",
  "energy_ry_per_atom": -0.3226,
  "lattice_angstrom": [[4.191, 0.000, 0.000], [0.000, 4.191, 0.000], [0.000, 0.000, 6.487]],
  "species": ["Ce", "Ce", "Cd", "Pb"],
  "fractional_positions": [[0.000, 0.000, 0.230], [0.000, 0.000, 0.770], [0.500, 0.500, 0.500], [0.500, 0.500, 0.000]]
}

***

# 15
{
  "formula": "Ce9CdPb2",
  "functional": "PBE",
  "state": "optimized geometry",
  "energy_ry_per_atom": -0.3914,
  "lattice_angstrom": [[4.827, 0.000, 0.000], [0.000, 4.827, 0.000], [0.000, 0.000, 14.405]],
  "species": ["Ce", "Ce", "Ce", "Ce", "Ce", "Ce", "Ce", "Ce", "Ce", "Cd", "Pb", "Pb"],
  "fractional_positions": [[0.000, 0.000, 0.000], [0.000, 0.000, 0.329], [0.000, 0.000, 0.671], [0.000, 0.500, 0.166], [0.000, 0.500, 0.500], [0.000, 0.500, 0.834], [0.500, 0.000, 0.166], [0.500, 0.000, 0.500], [0.500, 0.000, 0.834], [0.500, 0.500, 0.000], [0.500, 0.500, 0.333], [0.500, 0.500, 0.667]]
}

***

# 16
{
  "formula": "CeCd17Pb",
  "functional": "PBE",
  "state": "optimized geometry",
  "energy_ry_per_atom": -0.1007,
  "lattice_angstrom": [[5.080, 2.933, 5.054], [-5.080, 2.933, 5.054], [0.000, -5.866, 5.054]],
  "species": ["Ce", "Cd", "Cd", "Cd", "Cd", "Cd", "Cd", "Cd", "Cd", "Cd", "Cd", "Cd", "Cd", "Cd", "Cd", "Cd", "Cd", "Cd", "Pb"],
  "fractional_positions": [[0.000, 0.000, 0.000], [0.028, 0.336, 0.635], [0.028, 0.635, 0.336], [0.169, 0.695, 0.695], [0.234, 0.234, 0.234], [0.333, 0.333, 0.829], [0.333, 0.829, 0.333], [0.336, 0.028, 0.635], [0.336, 0.635, 0.028], [0.436, 0.436, 0.436], [0.479, 0.985, 0.985], [0.635, 0.028, 0.336], [0.635, 0.336, 0.028], [0.695, 0.169, 0.695], [0.695, 0.695, 0.169], [0.829, 0.333, 0.333], [0.985, 0.479, 0.985], [0.985, 0.985, 0.479], [0.722, 0.722, 0.722]]
}

***

# 17
{
  "formula": "Ce8CdPb6",
  "functional": "PBE",
  "state": "optimized geometry",
  "energy_ry_per_atom": -0.3618,
  "lattice_angstrom": [[4.788, 2.764, 6.499], [-4.788, 2.764, 6.499], [0.000, -5.529, 6.499]],
  "species": ["Ce", "Ce", "Ce", "Ce", "Ce", "Ce", "Ce", "Ce", "Cd", "Pb", "Pb", "Pb", "Pb", "Pb", "Pb"],
  "fractional_positions": [[0.117, 0.405, 0.708], [0.165, 0.165, 0.165], [0.292, 0.883, 0.595], [0.405, 0.708, 0.117], [0.595, 0.292, 0.883], [0.708, 0.117, 0.405], [0.835, 0.835, 0.835], [0.883, 0.595, 0.292], [0.500, 0.500, 0.500], [0.058, 0.783, 0.427], [0.217, 0.573, 0.942], [0.427, 0.058, 0.783], [0.573, 0.942, 0.217], [0.783, 0.427, 0.058], [0.942, 0.217, 0.573]]
}

***

# 18
{
  "formula": "Ce2Cd3Pb",
  "functional": "PBE",
  "state": "optimized geometry",
  "energy_ry_per_atom": -0.2441,
  "de_polymorph_ev_per_fu": 0.000,
  "lattice_angstrom": [[0.000, 5.113, 8.848], [3.521, 0.000, 8.848], [3.521, 5.113, 0.000]],
  "species": ["Ce", "Ce", "Ce", "Ce", "Cd", "Cd", "Cd", "Cd", "Cd", "Cd", "Pb", "Pb"],
  "fractional_positions": [[0.247, 0.753, 0.753], [0.250, 0.250, 0.250], [0.750, 0.750, 0.750], [0.753, 0.247, 0.247], [0.163, 0.163, 0.837], [0.164, 0.673, 0.327], [0.327, 0.836, 0.164], [0.673, 0.164, 0.836], [0.836, 0.327, 0.673], [0.837, 0.837, 0.163], [0.334, 0.334, 0.666], [0.666, 0.666, 0.334]]
}

***

# 19
{
  "formula": "CeCd2Pb2",
  "functional": "PBE",
  "state": "optimized geometry",
  "energy_ry_per_atom": -0.2412,
  "lattice_angstrom": [[2.315, -12.372, 0.000], [2.315, 12.372, 0.000], [0.000, 0.000, 4.655]],
  "species": ["Ce", "Ce", "Cd", "Cd", "Cd", "Cd", "Pb", "Pb", "Pb", "Pb"],
  "fractional_positions": [[0.145, 0.855, 0.750], [0.855, 0.145, 0.250], [0.040, 0.960, 0.250], [0.457, 0.543, 0.250], [0.543, 0.457, 0.750], [0.960, 0.040, 0.750], [0.250, 0.750, 0.250], [0.368, 0.632, 0.750], [0.632, 0.368, 0.250], [0.750, 0.250, 0.750]]
}

***

# 20
{
  "formula": "Ce5CdPb5",
  "functional": "PBE",
  "state": "optimized geometry",
  "energy_ry_per_atom": -0.3318,
  "lattice_angstrom": [[7.950, -3.228, 0.000], [7.950, 3.228, 0.000], [-1.704, 0.000, 6.882]],
  "species": ["Ce", "Ce", "Ce", "Ce", "Ce", "Cd", "Pb", "Pb", "Pb", "Pb", "Pb"],
  "fractional_positions": [[0.000, 0.000, 0.000], [0.340, 0.340, 0.135], [0.353, 0.353, 0.739], [0.647, 0.647, 0.261], [0.660, 0.660, 0.865], [0.000, 0.000, 0.500], [0.163, 0.163, 0.815], [0.179, 0.179, 0.360], [0.500, 0.500, 0.500], [0.821, 0.821, 0.640], [0.837, 0.837, 0.185]]
}

***

Record order is preserved below.
Formation energy: -0.12, -0.19, -0.47, -0.59, -0.36, 0.28, -0.01, 0.02, 0.20, 0.19, 0.23, 0.22, -0.29, -0.27, -0.18, -0.04, -0.21, -0.27, -0.25, -0.05 eV per atom